Record 1
First-principles (PBE) data for crystalline Tb6Pm10Th at its relaxed geometry, as listed in Alexandria via LeMat-Bulk.

Cell lengths 9.799, 9.799, 6.959 Å; angles 90.00, 90.00, 120.00 degrees
Fractional positions:
Tb (0.000, 0.369, 0.309)
Tb (0.000, 0.631, 0.691)
Tb (0.369, 0.000, 0.309)
Tb (0.369, 0.369, 0.691)
Tb (0.631, 0.000, 0.691)
Tb (0.631, 0.631, 0.309)
Pm (0.000, 0.276, 0.818)
Pm (0.000, 0.724, 0.182)
Pm (0.276, 0.000, 0.818)
Pm (0.276, 0.276, 0.182)
Pm (0.333, 0.667, 0.000)
Pm (0.333, 0.667, 0.500)
Pm (0.667, 0.333, 0.000)
Pm (0.667, 0.333, 0.500)
Pm (0.724, 0.000, 0.182)
Pm (0.724, 0.724, 0.818)
Th (0.000, 0.000, 0.500)

Output
The density of states at the Fermi level is 25.61 states/eV/f.u. For the calculated formation energy, the calculation gives 148 meV/atom. Its volume is 34.04 Å³ per atom.



Record 2
First-principles (PBE) data for crystalline TbPm2Th at its relaxed geometry, as listed in Alexandria via LeMat-Bulk.

Cell lengths 3.639, 6.300, 12.163 Å; angles 75.08, 81.53, 89.98 degrees
Fractional positions:
Tb (0.121, 0.289, 0.257)
Tb (0.879, 0.711, 0.743)
Pm (0.251, 0.749, 0.998)
Pm (0.379, 0.212, 0.744)
Pm (0.621, 0.788, 0.256)
Pm (0.749, 0.251, 0.002)
Th (0.000, 0.500, 0.500)
Th (0.500, 0.000, 0.500)

Output
The density of states at the Fermi level is 5.66 states/eV/f.u. For the calculated formation energy, the calculation gives 6 meV/atom. Its volume is 33.28 Å³ per atom.



Record 3
First-principles (PBE) data for crystalline Tb3Pm3Th4 at its relaxed geometry, as listed in Alexandria via LeMat-Bulk.

Cell lengths 4.041, 9.157, 9.157 Å; angles 89.77, 90.00, 90.00 degrees
Fractional positions:
Tb (0.000, 0.000, 0.000)
Tb (0.500, 0.335, 0.839)
Tb (0.500, 0.839, 0.335)
Pm (0.000, 0.175, 0.501)
Pm (0.000, 0.501, 0.175)
Pm (0.000, 0.675, 0.675)
Th (0.500, 0.204, 0.204)
Th (0.500, 0.472, 0.472)
Th (0.500, 0.704, 0.970)
Th (0.500, 0.970, 0.704)

Output
The density of states at the Fermi level is 13.08 states/eV/f.u. For the calculated formation energy, the calculation gives 228 meV/atom. Its volume is 33.89 Å³ per atom.



Record 4
First-principles (PBE) data for crystalline Tb3PmTh at its relaxed geometry, as listed in Alexandria via LeMat-Bulk.

Cell lengths 6.253, 6.253, 11.037 Å; angles 90.00, 90.00, 129.32 degrees
Fractional positions:
Tb (0.000, 0.000, 0.174)
Tb (0.000, 0.000, 0.826)
Tb (0.348, 0.652, 0.306)
Tb (0.348, 0.652, 0.694)
Tb (0.652, 0.348, 0.306)
Tb (0.652, 0.348, 0.694)
Pm (0.346, 0.654, 0.000)
Pm (0.654, 0.346, 0.000)
Th (0.135, 0.865, 0.500)
Th (0.865, 0.135, 0.500)

Output
The density of states at the Fermi level is 6.58 states/eV/f.u. For the calculated formation energy, the calculation gives 178 meV/atom. Its volume is 33.38 Å³ per atom.



Record 5
First-principles (PBE) data for crystalline Tb12Pm2Th5 at its relaxed geometry, as listed in Alexandria via LeMat-Bulk.

Cell lengths 9.965, 9.965, 10.348 Å; angles 111.17, 111.17, 41.27 degrees
Fractional positions:
Tb (0.003, 0.003, 0.330)
Tb (0.081, 0.583, 0.477)
Tb (0.096, 0.589, 0.136)
Tb (0.411, 0.904, 0.864)
Tb (0.417, 0.919, 0.523)
Tb (0.466, 0.466, 0.756)
Tb (0.534, 0.534, 0.244)
Tb (0.583, 0.081, 0.477)
Tb (0.589, 0.096, 0.136)
Tb (0.904, 0.411, 0.864)
Tb (0.919, 0.417, 0.523)
Tb (0.997, 0.997, 0.670)
Pm (0.218, 0.782, 0.000)
Pm (0.782, 0.218, 0.000)
Th (0.179, 0.179, 0.210)
Th (0.313, 0.313, 0.825)
Th (0.500, 0.500, 0.500)
Th (0.687, 0.687, 0.175)
Th (0.821, 0.821, 0.790)

Output
The density of states at the Fermi level is 30.45 states/eV/f.u. For the calculated formation energy, the calculation gives 213 meV/atom. Its volume is 32.91 Å³ per atom.



Record 6
First-principles (PBE) data for crystalline TbPmTh2 at its relaxed geometry, as listed in Alexandria via LeMat-Bulk.

Cell lengths 8.984, 18.303, 3.445 Å; angles 90.00, 103.33, 90.00 degrees
Fractional positions:
Tb (0.000, 0.093, 0.250)
Tb (0.000, 0.907, 0.750)
Tb (0.500, 0.407, 0.750)
Tb (0.500, 0.593, 0.250)
Pm (0.250, 0.250, 0.000)
Pm (0.250, 0.750, 0.500)
Pm (0.750, 0.250, 0.500)
Pm (0.750, 0.750, 0.000)
Th (0.159, 0.419, 0.117)
Th (0.159, 0.581, 0.617)
Th (0.341, 0.081, 0.883)
Th (0.341, 0.919, 0.383)
Th (0.659, 0.081, 0.617)
Th (0.659, 0.919, 0.117)
Th (0.841, 0.419, 0.383)
Th (0.841, 0.581, 0.883)

Output
The density of states at the Fermi level is 6.49 states/eV/f.u. For the calculated formation energy, the calculation gives 339 meV/atom. Its volume is 34.45 Å³ per atom.



> Among the records above, which one has the highest calculated formation energy?

TbPmTh2



> Among the records above, which one has the highest volume?

TbPmTh2



> Which formula does entry 4 have?

Tb3PmTh